Material: CsHgSb
Method: DFT, PBE-GGA
State: optimized geometry

Values from the calculation:
The calculation puts the formation energy without anion corrections at -320 meV/atom.

Cell lengths 7.012, 7.012, 8.690 Å; angles 122.49, 122.49, 44.46 degrees
Atoms (fractional coordinates):
Cs (0.000, 0.000, 0.000)
Cs (0.119, 0.119, 0.656)
Hg (0.696, 0.696, 0.392)
Hg (0.744, 0.744, 0.092)
Sb (0.343, 0.343, 0.505)
Sb (0.413, 0.413, 0.253)



Material: Cs3Hg4Sb2
Method: DFT, PBE-GGA
State: optimized geometry

Values from the calculation:
The offset from the most stable computed form is 68 meV/atom. The calculation puts the formation energy without anion corrections at -285 meV/atom.

Cell lengths 5.483, 7.104, 10.580 Å; angles 80.25, 89.96, 67.31 degrees
Atoms (fractional coordinates):
Cs (0.000, 0.000, 0.000)
Cs (0.387, 0.227, 0.619)
Cs (0.613, 0.773, 0.381)
Hg (0.098, 0.804, 0.643)
Hg (0.266, 0.468, 0.915)
Hg (0.734, 0.532, 0.085)
Hg (0.902, 0.196, 0.357)
Sb (0.295, 0.409, 0.209)
Sb (0.705, 0.591, 0.791)



Material: Cs3Hg4Sb2
Method: DFT, PBE-GGA
State: optimized geometry

Values from the calculation:
The offset from the most stable computed form is 0 meV/atom. The calculation puts the formation energy without anion corrections at -353 meV/atom.

Cell lengths 7.569, 7.569, 10.634 Å; angles 96.19, 96.19, 39.08 degrees
Atoms (fractional coordinates):
Cs (0.000, 0.000, 0.000)
Cs (0.332, 0.332, 0.340)
Cs (0.668, 0.668, 0.660)
Hg (0.054, 0.054, 0.387)
Hg (0.281, 0.281, 0.939)
Hg (0.719, 0.719, 0.061)
Hg (0.946, 0.946, 0.613)
Sb (0.393, 0.393, 0.722)
Sb (0.607, 0.607, 0.278)



Material: Cs3Hg5Sb2
Method: DFT, PBE-GGA
State: optimized geometry

Values from the calculation:
The calculation puts the formation energy without anion corrections at -246 meV/atom.

Cell lengths 11.154, 11.154, 11.154 Å; angles 115.02, 79.76, 139.00 degrees
Atoms (fractional coordinates):
Cs (0.129, 0.722, 0.851)
Cs (0.250, 0.250, 0.000)
Cs (0.371, 0.222, 0.594)
Cs (0.629, 0.778, 0.406)
Cs (0.750, 0.750, 0.000)
Cs (0.871, 0.278, 0.149)
Hg (0.024, 0.250, 0.774)
Hg (0.144, 0.404, 0.548)
Hg (0.250, 0.750, 0.500)
Hg (0.356, 0.904, 0.260)
Hg (0.476, 0.250, 0.226)
Hg (0.524, 0.750, 0.774)
Hg (0.644, 0.096, 0.740)
Hg (0.750, 0.250, 0.500)
Hg (0.856, 0.596, 0.452)
Hg (0.976, 0.750, 0.226)
Sb (0.159, 0.150, 0.308)
Sb (0.341, 0.650, 0.991)
Sb (0.659, 0.350, 0.009)
Sb (0.841, 0.850, 0.692)